a.
The following is a PBE calculation of an optimized crystal structure of SiGe2H, from Alexandria.

Unit cell a=4.340 b=4.340 c=4.340 alpha=60.00 beta=60.00 gamma=60.00
Element x y z (fractional)
Si 0.000 0.000 0.000
Ge 0.250 0.250 0.250
Ge 0.750 0.750 0.750
H 0.500 0.500 0.500

Output
space-group type = Fm-3m (225)
total magnetic moment = 0.00 μB per cell

b.
The following is a PBE calculation of an optimized crystal structure of SiGe2H, from Alexandria.

Unit cell a=6.991 b=6.991 c=6.991 alpha=141.18 beta=141.18 gamma=56.06
Element x y z (fractional)
Si 0.000 0.000 0.000
Si 0.750 0.250 0.500
Ge 0.213 0.625 0.088
Ge 0.375 0.463 0.588
Ge 0.537 0.125 0.912
Ge 0.875 0.787 0.412
H 0.250 0.750 0.500
H 0.500 0.500 0.000

Output
space-group type = I-42d (122)
total magnetic moment = 0.00 μB per cell

So which one wins? Going from most stable to least: b, a.

a.
The following is a PBE calculation of an optimized crystal structure of SmGeH, from Alexandria.

Unit cell a=4.155 b=4.043 c=6.281 alpha=90.00 beta=109.34 gamma=90.00
Element x y z (fractional)
Sm 0.147 0.250 0.296
Sm 0.853 0.750 0.704
Ge 0.437 0.250 0.871
Ge 0.563 0.750 0.129
H 0.254 0.750 0.508
H 0.746 0.250 0.492

Output
space-group type = P2_1/m (11)
total magnetic moment = 0.00 μB per cell

b.
The following is a PBE calculation of an optimized crystal structure of SmGeH, from Alexandria.

Unit cell a=7.951 b=4.040 c=6.167 alpha=90.00 beta=90.00 gamma=90.00
Element x y z (fractional)
Sm 0.175 0.250 0.119
Sm 0.325 0.750 0.619
Sm 0.675 0.250 0.381
Sm 0.825 0.750 0.881
Ge 0.030 0.250 0.620
Ge 0.470 0.750 0.120
Ge 0.530 0.250 0.880
Ge 0.970 0.750 0.380
H 0.121 0.750 0.927
H 0.379 0.250 0.427
H 0.621 0.750 0.573
H 0.879 0.250 0.073

Output
space-group type = Pnma (62)
total magnetic moment = 0.00 μB per cell

So which one wins? Going from most stable to least: a, b.

a.
The following is a PBE calculation of an optimized crystal structure of Sm3GeH, from Alexandria.

Unit cell a=6.673 b=6.349 c=10.962 alpha=90.00 beta=96.90 gamma=90.00
Element x y z (fractional)
Sm 0.067 0.072 0.159
Sm 0.067 0.428 0.659
Sm 0.215 0.553 0.084
Sm 0.215 0.947 0.584
Sm 0.395 0.159 0.879
Sm 0.395 0.341 0.379
Sm 0.605 0.659 0.621
Sm 0.605 0.841 0.121
Sm 0.785 0.053 0.416
Sm 0.785 0.447 0.916
Sm 0.933 0.572 0.341
Sm 0.933 0.928 0.841
Ge 0.361 0.678 0.843
Ge 0.361 0.822 0.343
Ge 0.639 0.178 0.657
Ge 0.639 0.322 0.157
H 0.085 0.237 0.969
H 0.085 0.263 0.469
H 0.915 0.737 0.531
H 0.915 0.763 0.031

Output
space-group type = P2_1/c (14)
total magnetic moment = 0.00 μB per cell

b.
The following is a PBE calculation of an optimized crystal structure of Sm3GeH, from Alexandria.

Unit cell a=4.797 b=4.797 c=4.797 alpha=90.00 beta=90.00 gamma=90.00
Element x y z (fractional)
Sm 0.000 0.000 0.500
Sm 0.000 0.500 0.000
Sm 0.500 0.000 0.000
Ge 0.500 0.500 0.500
H 0.000 0.000 0.000

Output
space-group type = Pm-3m (221)
total magnetic moment = 0.00 μB per cell

So which one wins? Going from most stable to least: a, b.

a.
The following is a PBE calculation of an optimized crystal structure of Sm3Ge2H, from Alexandria.

Unit cell a=7.149 b=7.149 c=8.236 alpha=106.73 beta=106.73 gamma=48.71
Element x y z (fractional)
Sm 0.030 0.970 0.750
Sm 0.333 0.336 0.417
Sm 0.336 0.333 0.917
Sm 0.664 0.667 0.083
Sm 0.667 0.664 0.583
Sm 0.970 0.030 0.250
Ge 0.163 0.168 0.082
Ge 0.168 0.163 0.582
Ge 0.832 0.837 0.418
Ge 0.837 0.832 0.918
H 0.454 0.546 0.750
H 0.546 0.454 0.250

Output
space-group type = C2/c (15)
total magnetic moment = 0.00 μB per cell

b.
The following is a PBE calculation of an optimized crystal structure of Sm3Ge2H, from Alexandria.

Unit cell a=8.176 b=4.205 c=16.391 alpha=90.00 beta=90.00 gamma=90.00
Element x y z (fractional)
Sm 0.003 0.250 0.104
Sm 0.134 0.750 0.431
Sm 0.162 0.250 0.721
Sm 0.338 0.750 0.221
Sm 0.366 0.250 0.931
Sm 0.497 0.750 0.604
Sm 0.503 0.250 0.396
Sm 0.634 0.750 0.069
Sm 0.662 0.250 0.779
Sm 0.838 0.750 0.279
Sm 0.866 0.250 0.569
Sm 0.997 0.750 0.896
Ge 0.116 0.250 0.290
Ge 0.240 0.750 0.040
Ge 0.260 0.250 0.540
Ge 0.384 0.750 0.790
Ge 0.616 0.250 0.210
Ge 0.740 0.750 0.460
Ge 0.760 0.250 0.960
Ge 0.884 0.750 0.710
H 0.114 0.250 0.864
H 0.386 0.750 0.364
H 0.614 0.250 0.636
H 0.886 0.750 0.136

Output
space-group type = Pnma (62)
total magnetic moment = 0.00 μB per cell

So which one wins? Going from most stable to least: b, a.

a.
The following is a PBE calculation of an optimized crystal structure of Sn2GeH2, from Alexandria.

Unit cell a=6.951 b=6.951 c=6.951 alpha=150.27 beta=150.27 gamma=42.54
Element x y z (fractional)
Sn 0.139 0.139 0.000
Sn 0.861 0.861 0.000
Ge 0.500 0.500 0.000
H 0.250 0.750 0.500
H 0.750 0.250 0.500

Output
space-group type = I4/mmm (139)
total magnetic moment = 0.00 μB per cell

b.
The following is a PBE calculation of an optimized crystal structure of Sn2GeH2, from Alexandria.

Unit cell a=4.092 b=4.092 c=5.769 alpha=90.00 beta=90.00 gamma=90.00
Element x y z (fractional)
Sn 0.000 0.000 0.000
Sn 0.500 0.500 0.000
Ge 0.000 0.000 0.500
H 0.000 0.500 0.500
H 0.500 0.000 0.500

Output
space-group type = P4/mmm (123)
total magnetic moment = 0.00 μB per cell

So which one wins? Going from most stable to least: a, b.

a.
The following is a PBE calculation of an optimized crystal structure of Sn3GeH, from Alexandria.

Unit cell a=5.419 b=5.419 c=5.419 alpha=90.00 beta=90.00 gamma=90.00
Element x y z (fractional)
Sn 0.000 0.000 0.500
Sn 0.000 0.500 0.000
Sn 0.500 0.000 0.000
Ge 0.000 0.000 0.000
H 0.500 0.500 0.500

Output
space-group type = Pm-3m (221)
total magnetic moment = 0.62 μB per cell

b.
The following is a PBE calculation of an optimized crystal structure of Sn3GeH, from Alexandria.

Unit cell a=4.753 b=4.753 c=4.753 alpha=90.00 beta=90.00 gamma=90.00
Element x y z (fractional)
Sn 0.000 0.000 0.500
Sn 0.000 0.500 0.000
Sn 0.500 0.000 0.000
Ge 0.500 0.500 0.500
H 0.000 0.000 0.000

Output
space-group type = Pm-3m (221)
total magnetic moment = 0.00 μB per cell

So which one wins? Going from most stable to least: b, a.

a.
The following is a PBE calculation of an optimized crystal structure of Sr4Ge2H, from Alexandria.

Unit cell a=7.276 b=7.401 c=8.630 alpha=90.00 beta=107.15 gamma=90.00
Element x y z (fractional)
Sr 0.009 0.008 0.249
Sr 0.009 0.492 0.249
Sr 0.424 0.250 0.592
Sr 0.444 0.250 0.125
Sr 0.556 0.750 0.875
Sr 0.576 0.750 0.408
Sr 0.991 0.508 0.751
Sr 0.991 0.992 0.751
Ge 0.218 0.750 0.549
Ge 0.246 0.750 0.066
Ge 0.754 0.250 0.934
Ge 0.782 0.250 0.451
H 0.239 0.250 0.305
H 0.761 0.750 0.695

Output
space-group type = P2_1/m (11)
total magnetic moment = 0.00 μB per cell

b.
The following is a PBE calculation of an optimized crystal structure of Sr4Ge2H, from Alexandria.

Unit cell a=9.173 b=9.173 c=9.173 alpha=148.44 beta=148.44 gamma=45.24
Element x y z (fractional)
Sr 0.000 0.500 0.500
Sr 0.184 0.184 0.000
Sr 0.500 0.000 0.500
Sr 0.816 0.816 0.000
Ge 0.372 0.372 0.000
Ge 0.628 0.628 0.000
H 0.500 0.500 0.000

Output
space-group type = I4/mmm (139)
total magnetic moment = 0.00 μB per cell

So which one wins? Going from most stable to least: a, b.

a.
The following is a PBE calculation of an optimized crystal structure of SrGeH2, from Alexandria.

Unit cell a=6.871 b=6.871 c=6.871 alpha=140.84 beta=140.84 gamma=56.59
Element x y z (fractional)
Sr 0.000 0.000 0.000
Sr 0.750 0.250 0.500
Ge 0.250 0.750 0.500
Ge 0.500 0.500 0.000
H 0.263 0.625 0.138
H 0.375 0.513 0.638
H 0.487 0.125 0.862
H 0.875 0.737 0.362

Output
space-group type = I-42d (122)
total magnetic moment = 0.00 μB per cell

b.
The following is a PBE calculation of an optimized crystal structure of SrGeH2, from Alexandria.

Unit cell a=4.382 b=4.382 c=4.382 alpha=60.00 beta=60.00 gamma=60.00
Element x y z (fractional)
Sr 0.000 0.000 0.000
Ge 0.500 0.500 0.500
H 0.250 0.250 0.250
H 0.750 0.750 0.750

Output
space-group type = Fm-3m (225)
total magnetic moment = 0.00 μB per cell

So which one wins? Going from most stable to least: a, b.

a.
The following is a PBE calculation of an optimized crystal structure of Sr3GeH, from Alexandria.

Unit cell a=5.177 b=5.177 c=5.177 alpha=90.00 beta=90.00 gamma=90.00
Element x y z (fractional)
Sr 0.000 0.000 0.500
Sr 0.000 0.500 0.000
Sr 0.500 0.000 0.000
Ge 0.500 0.500 0.500
H 0.000 0.000 0.000

Output
space-group type = Pm-3m (221)
total magnetic moment = 0.00 μB per cell

b.
The following is a PBE calculation of an optimized crystal structure of Sr3GeH, from Alexandria.

Unit cell a=7.373 b=7.149 c=11.291 alpha=90.00 beta=97.29 gamma=90.00
Element x y z (fractional)
Sr 0.081 0.035 0.163
Sr 0.081 0.465 0.663
Sr 0.234 0.528 0.072
Sr 0.234 0.972 0.572
Sr 0.401 0.159 0.877
Sr 0.401 0.341 0.377
Sr 0.599 0.659 0.623
Sr 0.599 0.841 0.123
Sr 0.766 0.028 0.428
Sr 0.766 0.472 0.928
Sr 0.919 0.535 0.337
Sr 0.919 0.965 0.837
Ge 0.360 0.720 0.846
Ge 0.360 0.780 0.346
Ge 0.640 0.220 0.654
Ge 0.640 0.280 0.154
H 0.083 0.235 0.964
H 0.083 0.265 0.464
H 0.917 0.735 0.536
H 0.917 0.765 0.036

Output
space-group type = P2_1/c (14)
total magnetic moment = 3.08 μB per cell

So which one wins? Going from most stable to least: b, a.

a.
The following is a PBE calculation of an optimized crystal structure of TaGeH2, from Alexandria.

Unit cell a=5.239 b=5.239 c=5.410 alpha=90.00 beta=90.00 gamma=145.04
Element x y z (fractional)
Ta 0.231 0.769 0.750
Ta 0.769 0.231 0.250
Ge 0.046 0.954 0.250
Ge 0.954 0.046 0.750
H 0.329 0.671 0.061
H 0.329 0.671 0.439
H 0.671 0.329 0.561
H 0.671 0.329 0.939

Output
space-group type = Cmcm (63)
total magnetic moment = 0.00 μB per cell

b.
The following is a PBE calculation of an optimized crystal structure of TaGeH2, from Alexandria.

Unit cell a=3.171 b=3.171 c=5.172 alpha=108.10 beta=108.10 gamma=61.34
Element x y z (fractional)
Ta 0.000 0.000 0.000
Ge 0.806 0.806 0.426
H 0.301 0.301 0.894
H 0.608 0.608 0.828

Output
space-group type = Cm (8)
total magnetic moment = 0.00 μB per cell

c.
The following is a PBE calculation of an optimized crystal structure of TaGeH2, from Alexandria.

Unit cell a=4.860 b=4.860 c=4.860 alpha=107.51 beta=107.51 gamma=113.48
Element x y z (fractional)
Ta 0.000 0.000 0.000
Ta 0.750 0.250 0.500
Ge 0.250 0.750 0.500
Ge 0.500 0.500 0.000
H 0.047 0.125 0.422
H 0.375 0.953 0.078
H 0.703 0.625 0.578
H 0.875 0.297 0.922

Output
space-group type = I-42d (122)
total magnetic moment = 0.00 μB per cell

So which one wins? Going from most stable to least: a, b, c.

a.
The following is a PBE calculation of an optimized crystal structure of Ta2GeH2, from Alexandria.

Unit cell a=5.869 b=5.869 c=5.869 alpha=147.93 beta=147.93 gamma=45.99
Element x y z (fractional)
Ta 0.135 0.135 0.000
Ta 0.865 0.865 0.000
Ge 0.500 0.500 0.000
H 0.250 0.750 0.500
H 0.750 0.250 0.500

Output
space-group type = I4/mmm (139)
total magnetic moment = 0.00 μB per cell

b.
The following is a PBE calculation of an optimized crystal structure of Ta2GeH2, from Alexandria.

Unit cell a=3.907 b=4.947 c=4.947 alpha=47.26 beta=90.00 gamma=90.00
Element x y z (fractional)
Ta 0.000 0.000 0.000
Ta 0.500 0.484 0.484
Ge 0.500 0.774 0.774
H 0.000 0.448 0.448
H 0.500 0.064 0.064

Output
space-group type = Amm2 (38)
total magnetic moment = 0.00 μB per cell

So which one wins? Going from most stable to least: a, b.